# 1
This record from Alexandria via LeMat-Bulk describes a geometry-optimized TbCdAgSn structure. The functional is PBE.

extended XYZ file:
```
4
Lattice="-3.315 -3.760 -0.938 0.595 -4.542 2.241 -3.252 -1.497 3.632" Properties=species:S:1:pos:R:3 pbc="T T T"
Sn 0.000 0.000 0.000
Cd -4.480 -7.349 3.701
Tb -1.493 -2.450 1.234
Ag -2.986 -4.900 2.468
```

Computed properties:
- energy of formation from the pure elements (eV/atom) = -0.298
- space group = No. 216

***

# 2
This record from Alexandria via LeMat-Bulk describes a geometry-optimized K2OsRu structure. The functional is PBE.

extended XYZ file:
```
4
Lattice="-5.245 8.908 -0.572 -6.411 6.538 -4.831 4.044 -8.520 4.270" Properties=species:S:1:pos:R:3 pbc="T T T"
K -1.238 1.641 -0.574
K -4.590 6.082 -2.127
Ru -4.097 2.871 -1.631
Os -3.514 4.055 0.499
```

Computed properties:
- energy of formation from the pure elements (eV/atom) = 0.840
- offset from the most stable computed form (meV per atom) = 142
- space group = No. 71

***

# 3
This record from Alexandria via LeMat-Bulk describes a geometry-optimized Li4InSb structure. The functional is PBE.

extended XYZ file:
```
6
Lattice="4.637 -0.021 -0.025 -2.302 4.018 -0.213 0.033 0.348 6.075" Properties=species:S:1:pos:R:3 pbc="T T T"
Li 1.190 0.746 1.444
Li 1.217 3.593 4.370
In -1.099 2.354 5.955
Li 1.206 0.920 4.512
Li 1.201 3.419 1.304
Sb -1.112 2.180 2.918
```

Computed properties:
- formation energy without anion corrections (eV/atom) = -0.40
- offset from the most stable computed form (meV per atom) = 0
- space group = No. 164

***

# 4
This record from Alexandria via LeMat-Bulk describes a geometry-optimized PmHo14Sc structure. The functional is PBE.

extended XYZ file:
```
16
Lattice="7.013 -0.849 0.000 -2.771 6.498 0.000 0.000 0.000 11.360" Properties=species:S:1:pos:R:3 pbc="T T T"
Ho 2.772 4.555 5.680
Ho 4.414 3.325 8.503
Ho 0.641 1.717 5.680
Ho -2.355 6.185 0.000
Pm 4.167 1.288 5.680
Ho 5.792 0.068 8.552
Ho 2.280 0.483 8.503
Ho 2.280 0.483 2.857
Ho 0.888 3.751 8.485
Ho 4.414 3.325 2.857
Ho 5.792 0.068 2.808
Ho 0.888 3.751 2.875
Ho -0.973 2.948 0.000
Sc -0.737 4.970 5.680
Ho 1.140 5.761 0.000
Ho 2.532 2.516 0.000
```

Computed properties:
- energy of formation from the pure elements (eV/atom) = 0.010
- space group = No. 38